## Sc4SnPt7 (GGA-PBE)

Data for crystalline Sc4SnPt7 at its relaxed geometry.

a = 4.9722 Å, b = 8.7902 Å, c = 6.0356 Å
α = 81.14°, β = 65.68°, γ = 73.57°
Atoms (fractional coordinates):
1 Sc 0.5902 0.2249 0.5948
2 Sc 0.4098 0.7751 0.4052
3 Sc 0.7603 0.6522 0.8273
4 Sc 0.2397 0.3478 0.1727
5 Sn 0.0000 0.0000 0.0000
6 Pt 0.7862 0.9033 0.5243
7 Pt 0.2138 0.0967 0.4757
8 Pt 0.0754 0.6811 0.1681
9 Pt 0.9246 0.3189 0.8319
10 Pt 0.3638 0.5332 0.7392
11 Pt 0.5000 0.0000 0.0000
12 Pt 0.6362 0.4668 0.2608

Summary:
- Calculated total energy: -82.37 eV per cell
- Energy of formation: -0.896 eV/atom